[1]
Here is crystalline NiW3N2 at its relaxed geometry from OQMD. Energies are from GGA-PBE.

Cell and atoms, written as CIF:
```
data_NiW3N2
_space_group_name_H-M_alt 'P 63/m m c'
_space_group_IT_number 194
_space_group_name_Hall '-P 6c 2c'
_cell_length_a 3.0498
_cell_length_b 3.0498
_cell_length_c 17.6384
_cell_angle_alpha 90.00
_cell_angle_beta 90.00
_cell_angle_gamma 120.00
loop_
_atom_site_label
_atom_site_fract_x
_atom_site_fract_y
_atom_site_fract_z
Ni1 0.0000 0.0000 0.2500
W1 0.0000 0.0000 0.0000
W2 0.3333 0.6667 0.1393
N1 0.3333 0.6667 0.5714
```

[2]
Here is crystalline Ni2W3N at its relaxed geometry from OQMD. Energies are from GGA-PBE.

Cell and atoms, written as CIF:
```
data_Ni2W3N
_space_group_name_H-M_alt 'P 41 3 2'
_space_group_IT_number 213
_space_group_name_Hall 'P 4bd 2ab 3'
_cell_length_a 6.672
_cell_length_b 6.672
_cell_length_c 6.672
_cell_angle_alpha 90.00
_cell_angle_beta 90.00
_cell_angle_gamma 90.00
loop_
_atom_site_label
_atom_site_fract_x
_atom_site_fract_y
_atom_site_fract_z
Ni1 0.066 0.066 0.066
W1 0.049 0.875 0.701
N1 0.125 0.625 0.875
```

[3]
Here is crystalline Y2NiWN6 at its relaxed geometry from OQMD. Energies are from GGA-PBE.

Cell and atoms, written as CIF:
```
data_Y2NiWN6
_space_group_name_H-M_alt 'C 1 2/m 1'
_space_group_IT_number 12
_cell_length_a 10.830
_cell_length_b 4.308
_cell_length_c 5.646
_cell_angle_alpha 90.00
_cell_angle_beta 113.43
_cell_angle_gamma 90.00
loop_
_space_group_symop_operation_xyz
'x,y,z'
'-x,-y,-z'
'-x,y,-z'
'x,-y,z'
'x+1/2,y+1/2,z'
'-x+1/2,-y+1/2,-z'
'-x+1/2,y+1/2,-z'
'x+1/2,-y+1/2,z'
loop_
_atom_site_label
_atom_site_fract_x
_atom_site_fract_y
_atom_site_fract_z
Y1 0.239 0.000 0.234
Ni1 0.000 0.500 0.000
W1 0.000 0.000 0.500
N1 0.081 0.336 0.335
N2 0.173 0.000 0.800
```

[4]
Here is crystalline Y2Ni3W4N3 at its relaxed geometry from OQMD. Energies are from GGA-PBE.

Cell and atoms, written as CIF:
```
data_Y2Ni3W4N3
_space_group_name_H-M_alt 'C 1 2/c 1'
_space_group_IT_number 15
_cell_length_a 9.314
_cell_length_b 5.419
_cell_length_c 13.278
_cell_angle_alpha 90.00
_cell_angle_beta 103.23
_cell_angle_gamma 90.00
loop_
_space_group_symop_operation_xyz
'x,y,z'
'-x,-y,-z'
'-x,y,-z+1/2'
'x,-y,z+1/2'
'x+1/2,y+1/2,z'
'-x+1/2,-y+1/2,-z'
'-x+1/2,y+1/2,-z+1/2'
'x+1/2,-y+1/2,z+1/2'
loop_
_atom_site_label
_atom_site_fract_x
_atom_site_fract_y
_atom_site_fract_z
Y1 0.040 0.081 0.374
Ni1 0.000 0.426 0.750
Ni2 0.245 0.162 0.750
W1 0.110 0.422 0.582
W2 0.220 0.415 0.918
N1 0.078 0.232 0.000
N2 0.250 0.250 0.500
```

[5]
Here is crystalline Y4NiN3 at its relaxed geometry from OQMD. Energies are from GGA-PBE.

Cell and atoms, written as CIF:
```
data_Y4NiN3
_space_group_name_H-M_alt 'P 63/m m c'
_space_group_IT_number 194
_space_group_name_Hall '-P 6c 2c'
_cell_length_a 3.4826
_cell_length_b 3.4826
_cell_length_c 24.4955
_cell_angle_alpha 90.00
_cell_angle_beta 90.00
_cell_angle_gamma 120.00
loop_
_atom_site_label
_atom_site_fract_x
_atom_site_fract_y
_atom_site_fract_z
Y1 0.0000 0.0000 0.1697
Y2 0.3333 0.6667 0.0563
Ni1 0.3333 0.6667 0.2500
N1 0.0000 0.0000 0.0000
N2 0.3333 0.6667 0.6173
```

[6]
Here is crystalline Y2Zr4Ni3N3 at its relaxed geometry from OQMD. Energies are from GGA-PBE.

Cell and atoms, written as CIF:
```
data_Y2Zr4Ni3N3
_space_group_name_H-M_alt 'C 1 2/c 1'
_space_group_IT_number 15
_cell_length_a 9.804
_cell_length_b 5.662
_cell_length_c 13.884
_cell_angle_alpha 90.00
_cell_angle_beta 103.88
_cell_angle_gamma 90.00
loop_
_space_group_symop_operation_xyz
'x,y,z'
'-x,-y,-z'
'-x,y,-z+1/2'
'x,-y,z+1/2'
'x+1/2,y+1/2,z'
'-x+1/2,-y+1/2,-z'
'-x+1/2,y+1/2,-z+1/2'
'x+1/2,-y+1/2,z+1/2'
loop_
_atom_site_label
_atom_site_fract_x
_atom_site_fract_y
_atom_site_fract_z
Y1 0.042 0.083 0.380
Zr1 0.113 0.411 0.592
Zr2 0.222 0.418 0.908
Ni1 0.000 0.420 0.750
Ni2 0.248 0.163 0.750
N1 0.084 0.253 0.000
N2 0.250 0.250 0.500
```

[7]
Here is crystalline ZnNi3N at its relaxed geometry from OQMD. Energies are from GGA-PBE.

Cell and atoms, written as CIF:
```
data_ZnNi3N
_space_group_name_H-M_alt 'P m -3 m'
_space_group_IT_number 221
_space_group_name_Hall '-P 4 2 3'
_cell_length_a 3.763
_cell_length_b 3.763
_cell_length_c 3.763
_cell_angle_alpha 90.00
_cell_angle_beta 90.00
_cell_angle_gamma 90.00
loop_
_atom_site_label
_atom_site_fract_x
_atom_site_fract_y
_atom_site_fract_z
Zn1 0.000 0.000 0.000
Ni1 0.000 0.500 0.500
N1 0.500 0.500 0.500
```

[8]
Here is crystalline Zr4NiN3 at its relaxed geometry from OQMD. Energies are from GGA-PBE.

Cell and atoms, written as CIF:
```
data_Zr4NiN3
_space_group_name_H-M_alt 'P 63/m m c'
_space_group_IT_number 194
_space_group_name_Hall '-P 6c 2c'
_cell_length_a 3.2573
_cell_length_b 3.2573
_cell_length_c 23.6320
_cell_angle_alpha 90.00
_cell_angle_beta 90.00
_cell_angle_gamma 120.00
loop_
_atom_site_label
_atom_site_fract_x
_atom_site_fract_y
_atom_site_fract_z
Zr1 0.0000 0.0000 0.1684
Zr2 0.3333 0.6667 0.0571
Ni1 0.3333 0.6667 0.2500
N1 0.0000 0.0000 0.0000
N2 0.3333 0.6667 0.6127
```

[9]
Here is crystalline Zr3Ni4N4 at its relaxed geometry from OQMD. Energies are from GGA-PBE.

Cell and atoms, written as CIF:
```
data_Zr3Ni4N4
_space_group_name_H-M_alt 'P 1 m 1'
_space_group_IT_number 6
_cell_length_a 5.751
_cell_length_b 3.167
_cell_length_c 7.201
_cell_angle_alpha 90.00
_cell_angle_beta 91.66
_cell_angle_gamma 90.00
loop_
_space_group_symop_operation_xyz
'x,y,z'
'x,-y,z'
loop_
_atom_site_label
_atom_site_fract_x
_atom_site_fract_y
_atom_site_fract_z
Zr1 0.000 0.000 0.000
Zr2 0.229 0.500 0.644
Zr3 0.676 0.500 0.412
Ni1 0.041 0.000 0.379
Ni2 0.307 0.500 0.214
Ni3 0.483 0.000 0.913
Ni4 0.745 0.500 0.771
N1 0.286 0.500 0.947
N2 0.412 0.000 0.470
N3 0.934 0.500 0.209
N4 0.935 0.000 0.651
```

[10]
Here is crystalline Zr6NiN2 at its relaxed geometry from OQMD. Energies are from GGA-PBE.

Cell and atoms, written as CIF:
```
data_Zr6NiN2
_space_group_name_H-M_alt 'P -6 2 m'
_space_group_IT_number 189
_space_group_name_Hall 'P -6 -2'
_cell_length_a 6.8696
_cell_length_b 6.8696
_cell_length_c 3.5675
_cell_angle_alpha 90.00
_cell_angle_beta 90.00
_cell_angle_gamma 120.00
loop_
_atom_site_label
_atom_site_fract_x
_atom_site_fract_y
_atom_site_fract_z
Zr1 0.0000 0.4217 0.0000
Zr2 0.0000 0.7329 0.5000
Ni1 0.0000 0.0000 0.0000
N1 0.3333 0.6667 0.5000
```

[11]
Here is crystalline NpN at its relaxed geometry from OQMD. Energies are from GGA-PBE.

Cell and atoms, written as CIF:
```
data_NpN
_space_group_name_H-M_alt 'F m -3 m'
_space_group_IT_number 225
_space_group_name_Hall '-F 4 2 3'
_cell_length_a 4.853
_cell_length_b 4.853
_cell_length_c 4.853
_cell_angle_alpha 90.00
_cell_angle_beta 90.00
_cell_angle_gamma 90.00
loop_
_atom_site_label
_atom_site_fract_x
_atom_site_fract_y
_atom_site_fract_z
Np1 0.000 0.000 0.000
N1 0.000 0.000 0.500
```

[12]
Here is crystalline NpN at its relaxed geometry from OQMD. Energies are from GGA-PBE.

Cell and atoms, written as CIF:
```
data_NpN
_space_group_name_H-M_alt 'P -6 m 2'
_space_group_IT_number 187
_space_group_name_Hall 'P -6 2'
_cell_length_a 3.3228
_cell_length_b 3.3228
_cell_length_c 3.0799
_cell_angle_alpha 90.00
_cell_angle_beta 90.00
_cell_angle_gamma 120.00
loop_
_atom_site_label
_atom_site_fract_x
_atom_site_fract_y
_atom_site_fract_z
Np1 0.0000 0.0000 0.0000
N1 0.3333 0.6667 0.5000
```

[13]
Here is crystalline Np2N3 at its relaxed geometry from OQMD. Energies are from GGA-PBE.

Cell and atoms, written as CIF:
```
data_Np2N3
_space_group_name_H-M_alt 'I a -3'
_space_group_IT_number 206
_space_group_name_Hall '-I 2b 2c 3'
_cell_length_a 10.536
_cell_length_b 10.536
_cell_length_c 10.536
_cell_angle_alpha 90.00
_cell_angle_beta 90.00
_cell_angle_gamma 90.00
loop_
_atom_site_label
_atom_site_fract_x
_atom_site_fract_y
_atom_site_fract_z
Np1 0.000 0.250 0.477
Np2 0.250 0.250 0.250
N1 0.117 0.147 0.620
```

[14]
Here is crystalline NpN at its relaxed geometry from OQMD. Energies are from GGA-PBE.

Cell and atoms, written as CIF:
```
data_NpN
_space_group_name_H-M_alt 'P m -3 m'
_space_group_IT_number 221
_space_group_name_Hall '-P 4 2 3'
_cell_length_a 2.978
_cell_length_b 2.978
_cell_length_c 2.978
_cell_angle_alpha 90.00
_cell_angle_beta 90.00
_cell_angle_gamma 90.00
loop_
_atom_site_label
_atom_site_fract_x
_atom_site_fract_y
_atom_site_fract_z
Np1 0.000 0.000 0.000
N1 0.500 0.500 0.500
```

[15]
Here is crystalline NpN at its relaxed geometry from OQMD. Energies are from GGA-PBE.

Cell and atoms, written as CIF:
```
data_NpN
_space_group_name_H-M_alt 'P m m a'
_space_group_IT_number 51
_cell_length_a 6.558
_cell_length_b 4.316
_cell_length_c 4.316
_cell_angle_alpha 90.00
_cell_angle_beta 90.00
_cell_angle_gamma 90.00
loop_
_space_group_symop_operation_xyz
'x,y,z'
'-x,-y,-z'
'-x+1/2,-y,z'
'x+1/2,y,-z'
'x+1/2,-y,-z'
'-x+1/2,y,z'
'-x,y,-z'
'x,-y,z'
loop_
_atom_site_label
_atom_site_fract_x
_atom_site_fract_y
_atom_site_fract_z
Np1 0.000 0.000 0.000
Np2 0.250 0.500 0.497
N1 0.250 0.000 0.497
N2 0.250 0.500 0.996
```

[16]
Here is crystalline NpN at its relaxed geometry from OQMD. Energies are from GGA-PBE.

Cell and atoms, written as CIF:
```
data_NpN
_space_group_name_H-M_alt 'F -4 3 m'
_space_group_IT_number 216
_space_group_name_Hall 'F -4 2 3'
_cell_length_a 5.221
_cell_length_b 5.221
_cell_length_c 5.221
_cell_angle_alpha 90.00
_cell_angle_beta 90.00
_cell_angle_gamma 90.00
loop_
_atom_site_label
_atom_site_fract_x
_atom_site_fract_y
_atom_site_fract_z
Np1 0.000 0.000 0.000
N1 0.250 0.250 0.750
```

[17]
Here is crystalline Np3N2 at its relaxed geometry from OQMD. Energies are from GGA-PBE.

Cell and atoms, written as CIF:
```
data_Np3N2
_space_group_name_H-M_alt 'R -3 c'
_space_group_IT_number 167
_space_group_name_Hall '-R 3 2"c'
_cell_length_a 5.9224
_cell_length_b 5.9224
_cell_length_c 16.8530
_cell_angle_alpha 90.00
_cell_angle_beta 90.00
_cell_angle_gamma 120.00
loop_
_atom_site_label
_atom_site_fract_x
_atom_site_fract_y
_atom_site_fract_z
Np1 0.0000 0.3265 0.2500
N1 0.0000 0.0000 0.1631
```

[18]
Here is crystalline Np3PN6 at its relaxed geometry from OQMD. Energies are from GGA-PBE.

Cell and atoms, written as CIF:
```
data_Np3PN6
_space_group_name_H-M_alt 'C m c 21'
_space_group_IT_number 36
_cell_length_a 8.803
_cell_length_b 11.117
_cell_length_c 5.260
_cell_angle_alpha 90.00
_cell_angle_beta 90.00
_cell_angle_gamma 90.00
loop_
_space_group_symop_operation_xyz
'x,y,z'
'-x,-y,z+1/2'
'-x,y,z'
'x,-y,z+1/2'
'x+1/2,y+1/2,z'
'-x+1/2,-y+1/2,z+1/2'
'-x+1/2,y+1/2,z'
'x+1/2,-y+1/2,z+1/2'
loop_
_atom_site_label
_atom_site_fract_x
_atom_site_fract_y
_atom_site_fract_z
Np1 0.000 0.106 0.000
Np2 0.193 0.393 0.029
P1 0.000 0.308 0.579
N1 0.000 0.291 0.266
N2 0.000 0.447 0.689
N3 0.147 0.241 0.721
N4 0.158 0.012 0.271
```

[19]
Here is crystalline Pr4NpN5 at its relaxed geometry from OQMD. Energies are from GGA-PBE.

Cell and atoms, written as CIF:
```
data_Pr4NpN5
_space_group_name_H-M_alt 'I 4/m'
_space_group_IT_number 87
_space_group_name_Hall '-I 4'
_cell_length_a 8.046
_cell_length_b 8.046
_cell_length_c 5.115
_cell_angle_alpha 90.00
_cell_angle_beta 90.00
_cell_angle_gamma 90.00
loop_
_atom_site_label
_atom_site_fract_x
_atom_site_fract_y
_atom_site_fract_z
Pr1 0.100 0.299 0.000
Np1 0.000 0.000 0.500
N1 0.000 0.000 0.000
N2 0.090 0.267 0.500
```

[20]
Here is crystalline Pr2NpN3 at its relaxed geometry from OQMD. Energies are from GGA-PBE.

Cell and atoms, written as CIF:
```
data_Pr2NpN3
_space_group_name_H-M_alt 'P -3 m 1'
_space_group_IT_number 164
_space_group_name_Hall '-P 3 2"'
_cell_length_a 3.5636
_cell_length_b 3.5636
_cell_length_c 8.8774
_cell_angle_alpha 90.00
_cell_angle_beta 90.00
_cell_angle_gamma 120.00
loop_
_atom_site_label
_atom_site_fract_x
_atom_site_fract_y
_atom_site_fract_z
Pr1 0.3333 0.6667 0.3337
Np1 0.0000 0.0000 0.0000
N1 0.0000 0.0000 0.5000
N2 0.3333 0.6667 0.8659
```

Across the entries above, electronic total energy takes the values -118.27; -238.00; -171.40; -443.59; -132.84; -401.34; -27.04; -149.98; -86.67; -75.42; -93.94; -22.77; -906.58; -22.23; -90.06; -92.18; -350.19; -416.08; -173.06; -54.99 eV per cell, respectively.